(1)
The following is a DFT calculation (PBE-GGA) of a relaxed structure of Ni7Pt16Rh6.

abc: 8.5149 8.5149 8.5149
angles: 60.00 60.00 60.00
Sites, in units of the cell vectors:
Pt 0.1177 0.6468 0.1177
Pt 0.6612 0.6612 0.0162
Pt 0.1177 0.1177 0.6468
Pt 0.3388 0.3388 0.3388
Pt 0.6468 0.1177 0.1177
Pt 0.9838 0.3388 0.3388
Pt 0.3388 0.9838 0.3388
Pt 0.0162 0.6612 0.6612
Pt 0.8823 0.3532 0.8823
Pt 0.3532 0.8823 0.8823
Pt 0.6612 0.6612 0.6612
Pt 0.6612 0.0162 0.6612
Pt 0.3388 0.3388 0.9838
Pt 0.8823 0.8823 0.3532
Pt 0.1177 0.1177 0.1177
Pt 0.8823 0.8823 0.8823
Ni 0.5000 0.0000 0.0000
Ni 0.5000 0.5000 0.0000
Ni 0.0000 0.0000 0.0000
Ni 0.0000 0.5000 0.0000
Ni 0.5000 0.0000 0.5000
Ni 0.0000 0.5000 0.5000
Ni 0.0000 0.0000 0.5000
Rh 0.6665 0.3335 0.6665
Rh 0.3335 0.6665 0.6665
Rh 0.3335 0.3335 0.6665
Rh 0.3335 0.6665 0.3335
Rh 0.6665 0.3335 0.3335
Rh 0.6665 0.6665 0.3335

## Properties
Its symmetry is Fm-3m. The calculation puts the size of the total moment at 15.5 μB/f.u. As for the formation energy: 4.42 eV per formula unit. For the total energy, the calculation gives -176.81 eV for the cell shown.


(2)
The following is a DFT calculation (PBE-GGA) of a relaxed structure of Ni3PtRh.

abc: 4.6657 8.9759 6.3753
angles: 90.00 90.00 90.00
Sites, in units of the cell vectors:
Pt 0.9864 0.0149 0.7500
Pt 0.0136 0.9851 0.2500
Pt 0.5136 0.5149 0.2500
Pt 0.4864 0.4851 0.7500
Ni 0.6526 0.7209 0.9317
Ni 0.9187 0.7099 0.2500
Ni 0.3474 0.2791 0.4317
Ni 0.4187 0.7901 0.2500
Ni 0.1526 0.7791 0.5683
Ni 0.8474 0.2209 0.4317
Ni 0.8474 0.2209 0.0683
Ni 0.3474 0.2791 0.0683
Ni 0.1526 0.7791 0.9317
Ni 0.6526 0.7209 0.5683
Ni 0.5813 0.2099 0.7500
Ni 0.0813 0.2901 0.7500
Rh 0.5000 0.0000 0.0000
Rh 0.0000 0.5000 0.5000
Rh 0.5000 0.0000 0.5000
Rh 0.0000 0.5000 0.0000

## Properties
Its symmetry is Pnma. The calculation puts the size of the total moment at 3.4 μB/f.u. As for the formation energy: 1.16 eV per formula unit. For the total energy, the calculation gives -118.31 eV for the cell shown. For the energy above the most stable polymorph in this dataset, the calculation gives 22 meV/atom.


(3)
The following is a DFT calculation (PBE-GGA) of a relaxed structure of Ni4PtRh2.

abc: 6.0295 6.0295 5.0030
angles: 127.07 127.07 89.98
Sites, in units of the cell vectors:
Rh 0.7709 0.2708 0.5416
Rh 0.2708 0.7708 0.5416
Ni 0.3115 0.3115 0.0360
Ni 0.3115 0.7244 0.0359
Ni 0.7243 0.3115 0.0358
Ni 0.7245 0.7244 0.0360
Pt 0.8865 0.8866 0.7731

## Properties
Its symmetry is I4mm. The calculation puts the size of the total moment at 3.9 μB/f.u. As for the formation energy: 1.44 eV per formula unit. For the total energy, the calculation gives -42.42 eV for the cell shown. For the energy above the most stable polymorph in this dataset, the calculation gives 0 meV/atom.


(4)
The following is a DFT calculation (PBE-GGA) of a relaxed structure of Ni2Pt8Rh.

abc: 4.7755 7.2937 6.1754
angles: 115.09 105.03 108.90
Sites, in units of the cell vectors:
Pt 0.1397 0.0901 0.2764
Pt 0.9520 0.6328 0.9103
Pt 0.0480 0.3672 0.0897
Pt 0.6855 0.4530 0.3616
Pt 0.8603 0.9099 0.7236
Pt 0.5975 0.7402 0.1934
Pt 0.4025 0.2598 0.8066
Pt 0.3145 0.5470 0.6384
Ni 0.2314 0.8203 0.4563
Ni 0.7686 0.1797 0.5437
Rh 0.5000 0.0000 0.0000

## Properties
Its symmetry is P-1. The calculation puts the size of the total moment at 4.0 μB/f.u. As for the formation energy: -0.43 eV per formula unit. For the total energy, the calculation gives -67.67 eV for the cell shown. For the energy above the most stable polymorph in this dataset, the calculation gives 7 meV/atom.


(5)
The following is a DFT calculation (PBE-GGA) of a relaxed structure of Ni8Pt2Rh.

abc: 3.6734 5.7894 6.8206
angles: 105.10 105.62 90.00
Sites, in units of the cell vectors:
Ni 0.6792 0.9095 0.3584
Ni 0.8654 0.8244 0.7308
Ni 0.5865 0.4530 0.1729
Ni 0.1346 0.1756 0.2692
Ni 0.3208 0.0905 0.6416
Ni 0.4135 0.5470 0.8271
Ni 0.0419 0.7247 0.0838
Ni 0.9581 0.2753 0.9162
Rh 0.5000 0.0000 0.0000
Pt 0.2240 0.6445 0.4480
Pt 0.7760 0.3555 0.5520

## Properties
Its symmetry is C2/m. The calculation puts the size of the total moment at 7.3 μB/f.u. As for the formation energy: -0.35 eV per formula unit. For the total energy, the calculation gives -66.04 eV for the cell shown. For the energy above the most stable polymorph in this dataset, the calculation gives 0 meV/atom.


(6)
The following is a DFT calculation (PBE-GGA) of a relaxed structure of NiPt3Rh4.

abc: 2.6935 4.3258 13.4577
angles: 53.77 95.74 90.00
Sites, in units of the cell vectors:
Pt 0.0000 0.5000 0.0000
Pt 0.7866 0.1075 0.5731
Pt 0.2134 0.8925 0.4269
Rh 0.6004 0.3169 0.2008
Rh 0.6612 0.5895 0.3224
Rh 0.3388 0.4105 0.6776
Rh 0.3996 0.6831 0.7992
Ni 0.5000 0.0000 0.0000

## Properties
Its symmetry is C2/m. The calculation puts the size of the total moment at 0.0 μB/f.u. As for the formation energy: 2.04 eV per formula unit. For the total energy, the calculation gives -51.27 eV for the cell shown. For the energy above the most stable polymorph in this dataset, the calculation gives 273 meV/atom.